Record 1
# YMg5Au6 (PBE, optimized geometry)
# **Energy**: -3.488 eV/atom
# **Size of the total moment**: 0.00 μB/cell
# **DOS(E_F)**: 2.9 states/eV/f.u.
# **Formation energy from the elements**: -646 meV/atom
data_YMg5Au6
_cell_length_a 4.747
_cell_length_b 6.803
_cell_length_c 7.447
_cell_angle_alpha 90.00
_cell_angle_beta 107.46
_cell_angle_gamma 90.00
_symmetry_space_group_name_H-M 'P 1 2/m 1'
_symmetry_Int_Tables_number 10
_symmetry_space_group_name_Hall '-P 2y'
loop_
_atom_site_label
_atom_site_type_symbol
_atom_site_fract_x
_atom_site_fract_y
_atom_site_fract_z
Y1 Y 0.000 0.000 0.000
Mg1 Mg 0.000 0.500 0.000
Mg2 Mg 0.328 0.000 0.659
Mg3 Mg 0.331 0.500 0.673
Au1 Au 0.177 0.260 0.343
Au2 Au 0.500 0.265 0.000

=====

Record 2
# Y2MgAu (PBE, optimized geometry)
# **Energy**: -4.741 eV/atom
# **Size of the total moment**: 0.00 μB/cell
# **DOS(E_F)**: 5.3 states/eV/f.u.
# **Formation energy from the elements**: -291 meV/atom
data_Y2MgAu
_cell_length_a 3.7987
_cell_length_b 3.7987
_cell_length_c 27.4202
_cell_angle_alpha 90.00
_cell_angle_beta 90.00
_cell_angle_gamma 120.00
_symmetry_space_group_name_H-M 'R -3 m'
_symmetry_Int_Tables_number 166
_symmetry_space_group_name_Hall '-R 3 2"'
loop_
_atom_site_label
_atom_site_type_symbol
_atom_site_fract_x
_atom_site_fract_y
_atom_site_fract_z
Y1 Y 0.0000 0.0000 0.2386
Mg1 Mg 0.0000 0.0000 0.0000
Au1 Au 0.0000 0.0000 0.5000

=====

Record 3
# Y2MgAu (PBE, optimized geometry)
# **Energy**: -4.832 eV/atom
# **Size of the total moment**: 1.27 μB/cell
# **DOS(E_F)**: 3.3 states/eV/f.u.
# **Formation energy from the elements**: -382 meV/atom
data_Y2MgAu
_cell_length_a 3.623
_cell_length_b 3.623
_cell_length_c 7.763
_cell_angle_alpha 90.00
_cell_angle_beta 90.00
_cell_angle_gamma 90.00
_symmetry_space_group_name_H-M 'P 4 m m'
_symmetry_Int_Tables_number 99
_symmetry_space_group_name_Hall 'P 4 -2'
loop_
_atom_site_label
_atom_site_type_symbol
_atom_site_fract_x
_atom_site_fract_y
_atom_site_fract_z
Y1 Y 0.000 0.000 0.000
Y2 Y 0.500 0.500 0.318
Mg1 Mg 0.500 0.500 0.728
Au1 Au 0.000 0.000 0.543

=====

Record 4
# YMg3Au (PBE, optimized geometry)
# **Distance to the lowest polymorph of the same formula**: 0.0 meV/atom
# **Energy**: -3.025 eV/atom
# **Size of the total moment**: 0.00 μB/cell
# **DOS(E_F)**: 2.2 states/eV/f.u.
# **Formation energy from the elements**: -120 meV/atom
data_YMg3Au
_cell_length_a 5.066
_cell_length_b 5.066
_cell_length_c 5.066
_cell_angle_alpha 90.00
_cell_angle_beta 90.00
_cell_angle_gamma 90.00
_symmetry_space_group_name_H-M 'P m -3 m'
_symmetry_Int_Tables_number 221
_symmetry_space_group_name_Hall '-P 4 2 3'
loop_
_atom_site_label
_atom_site_type_symbol
_atom_site_fract_x
_atom_site_fract_y
_atom_site_fract_z
Y1 Y 0.000 0.000 0.000
Mg1 Mg 0.000 0.500 0.500
Au1 Au 0.500 0.500 0.500

=====

Record 5
# YMg2Au2 (PBE, optimized geometry)
# **Distance to the lowest polymorph of the same formula**: 0.0 meV/atom
# **Energy**: -3.868 eV/atom
# **Size of the total moment**: 0.00 μB/cell
# **DOS(E_F)**: 2.9 states/eV/f.u.
# **Formation energy from the elements**: -626 meV/atom
data_YMg2Au2
_cell_length_a 4.112
_cell_length_b 4.112
_cell_length_c 12.895
_cell_angle_alpha 90.00
_cell_angle_beta 90.00
_cell_angle_gamma 90.00
_symmetry_space_group_name_H-M 'I 4/m m m'
_symmetry_Int_Tables_number 139
_symmetry_space_group_name_Hall '-I 4 2'
loop_
_atom_site_label
_atom_site_type_symbol
_atom_site_fract_x
_atom_site_fract_y
_atom_site_fract_z
Y1 Y 0.000 0.000 0.000
Mg1 Mg 0.000 0.500 0.250
Au1 Au 0.000 0.000 0.393

=====

Record 6
# YMg4Au2 (PBE, optimized geometry)
# **Energy**: -3.259 eV/atom
# **Size of the total moment**: 0.00 μB/cell
# **DOS(E_F)**: 5.1 states/eV/f.u.
# **Formation energy from the elements**: -488 meV/atom
data_YMg4Au2
_cell_length_a 8.518
_cell_length_b 8.518
_cell_length_c 4.215
_cell_angle_alpha 90.00
_cell_angle_beta 90.00
_cell_angle_gamma 90.00
_symmetry_space_group_name_H-M 'P 42/m n m'
_symmetry_Int_Tables_number 136
_symmetry_space_group_name_Hall '-P 4n 2n'
loop_
_atom_site_label
_atom_site_type_symbol
_atom_site_fract_x
_atom_site_fract_y
_atom_site_fract_z
Y1 Y 0.000 0.000 0.000
Mg1 Mg 0.093 0.336 0.500
Au1 Au 0.197 0.803 0.500

=====

Record 7
# Y2MgAu6 (PBE, optimized geometry)
# **Energy**: -4.413 eV/atom
# **Size of the total moment**: 0.00 μB/cell
# **DOS(E_F)**: 3.8 states/eV/f.u.
# **Formation energy from the elements**: -615 meV/atom
data_Y2MgAu6
_cell_length_a 10.886
_cell_length_b 6.269
_cell_length_c 5.554
_cell_angle_alpha 90.00
_cell_angle_beta 90.05
_cell_angle_gamma 90.00
_symmetry_space_group_name_H-M 'C 1 2/m 1'
_symmetry_Int_Tables_number 12
_symmetry_space_group_name_Hall '-C 2y'
loop_
_atom_site_label
_atom_site_type_symbol
_atom_site_fract_x
_atom_site_fract_y
_atom_site_fract_z
Y1 Y 0.167 0.000 0.165
Mg1 Mg 0.000 0.500 0.000
Au1 Au 0.091 0.227 0.687
Au2 Au 0.183 0.500 0.312

=====

Record 8
# YMgAu3 (PBE, optimized geometry)
# **Distance to the lowest polymorph of the same formula**: 445.6 meV/atom
# **Energy**: -3.306 eV/atom
# **Size of the total moment**: 0.00 μB/cell
# **DOS(E_F)**: 2.0 states/eV/f.u.
# **Formation energy from the elements**: 272 meV/atom
data_YMgAu3
_cell_length_a 5.411
_cell_length_b 5.411
_cell_length_c 5.411
_cell_angle_alpha 90.00
_cell_angle_beta 90.00
_cell_angle_gamma 90.00
_symmetry_space_group_name_H-M 'P m -3 m'
_symmetry_Int_Tables_number 221
_symmetry_space_group_name_Hall '-P 4 2 3'
loop_
_atom_site_label
_atom_site_type_symbol
_atom_site_fract_x
_atom_site_fract_y
_atom_site_fract_z
Y1 Y 0.000 0.000 0.000
Mg1 Mg 0.500 0.500 0.500
Au1 Au 0.000 0.000 0.500

=====

What did the second record say?
# Y2MgAu (PBE, optimized geometry)
# **Energy**: -4.741 eV/atom
# **Size of the total moment**: 0.00 μB/cell
# **DOS(E_F)**: 5.3 states/eV/f.u.
# **Formation energy from the elements**: -291 meV/atom
data_Y2MgAu
_cell_length_a 3.7987
_cell_length_b 3.7987
_cell_length_c 27.4202
_cell_angle_alpha 90.00
_cell_angle_beta 90.00
_cell_angle_gamma 120.00
_symmetry_space_group_name_H-M 'R -3 m'
_symmetry_Int_Tables_number 166
_symmetry_space_group_name_Hall '-R 3 2"'
loop_
_atom_site_label
_atom_site_type_symbol
_atom_site_fract_x
_atom_site_fract_y
_atom_site_fract_z
Y1 Y 0.0000 0.0000 0.2386
Mg1 Mg 0.0000 0.0000 0.0000
Au1 Au 0.0000 0.0000 0.5000